A plane-wave DFT calculation with GGA+U was carried out for a relaxed Sr3Mn2MoO9 crystal. Values from VASP.

Output
VASP energy (eV per atom): -7.0025
Magnetization (μB per cell): 8.00
SG: P-3m1, No. 164

```
&SYSTEM
  ibrav = 0, nat = 15, ntyp = 4
/
ATOMIC_SPECIES
Sr 87.62 Sr.upf
Mo 95.94 Mo.upf
Mn 54.94 Mn.upf
O 16.00 O.upf
CELL_PARAMETERS angstrom
-4.089 -1.482 -3.582
4.154 -3.618 1.186
-3.715 -2.532 5.288
ATOMIC_POSITIONS crystal
Sr 0.000 0.000 0.000
Sr 0.333 0.667 0.687
Sr 0.667 0.333 0.313
Mo 0.000 0.000 0.500
Mn 0.333 0.667 0.159
Mn 0.667 0.333 0.841
O 0.162 0.325 0.339
O 0.675 0.838 0.339
O 0.500 0.000 0.000
O 0.838 0.675 0.661
O 0.000 0.500 0.000
O 0.325 0.162 0.661
O 0.838 0.162 0.661
O 0.162 0.838 0.339
O 0.500 0.500 0.000
```